This record from the Alexandria database describes a relaxed structure of BaYIn. The functional is GGA-PBE.

Cell lengths 4.0480, 4.0474, 13.7056 Å; angles 90.00, 90.07, 90.00 degrees
Sites, in units of the cell vectors:
1 Ba 0.2486 0.2500 0.1410
2 Ba 0.7514 0.7500 0.8590
3 Y 0.2496 0.2500 0.4227
4 Y 0.7504 0.7500 0.5773
5 In 0.2509 0.2500 0.6857
6 In 0.7491 0.7500 0.3143

Properties
For the theoretical density, the calculation gives 5.044 Mg/m³. The value obtained for the final energy is -12.057 eV/f.u. The calculation puts the energy above the lowest structure with this stoichiometry at 8 kJ/mol of formula units.


This record from the Alexandria database describes a relaxed structure of In2HPd3. The functional is GGA-PBE.

Cell lengths 5.6263, 5.6263, 7.2257 Å; angles 98.31, 98.31, 119.57 degrees
Sites, in units of the cell vectors:
1 In 0.0000 0.0000 0.0000
2 In 0.1513 0.8487 0.5000
3 In 0.5000 0.5000 0.5000
4 In 0.8487 0.1513 0.5000
5 H 0.3527 0.6473 0.0000
6 H 0.6473 0.3527 0.0000
7 Pd 0.0896 0.4979 0.1875
8 Pd 0.3404 0.3404 0.8117
9 Pd 0.4979 0.0896 0.1875
10 Pd 0.5021 0.9104 0.8125
11 Pd 0.6596 0.6596 0.1883
12 Pd 0.9104 0.5021 0.8125

Properties
For the theoretical density, the calculation gives 9.583 Mg/m³. The value obtained for the final energy is -25.830 eV/f.u. The calculation puts the energy above the lowest structure with this stoichiometry at 47 kJ/mol of formula units.


This record from the Alexandria database describes a relaxed structure of Ca2CrW. The functional is GGA-PBE.

Cell lengths 2.7910, 5.1179, 5.5615 Å; angles 90.00, 91.79, 90.00 degrees
Sites, in units of the cell vectors:
1 Ca 0.0046 0.0000 0.2516
2 Ca 0.9954 0.0000 0.7484
3 Cr 0.5000 0.5000 0.5000
4 W 0.5000 0.5000 0.0000

Properties
For the theoretical density, the calculation gives 6.608 Mg/m³. The value obtained for the final energy is -22.120 eV/f.u. The calculation puts the energy above the lowest structure with this stoichiometry at 241 kJ/mol of formula units.


This record from the Alexandria database describes a relaxed structure of LuScHgPt. The functional is GGA-PBE.

Cell lengths 4.9055, 4.9055, 4.9055 Å; angles 60.00, 60.00, 60.00 degrees
Sites, in units of the cell vectors:
1 Lu 0.0000 0.0000 0.0000
2 Sc 0.5000 0.5000 0.5000
3 Hg 0.7500 0.7500 0.7500
4 Pt 0.2500 0.2500 0.2500

Properties
For the theoretical density, the calculation gives 12.247 Mg/m³. The value obtained for the final energy is -20.487 eV/f.u.


This record from the Alexandria database describes a relaxed structure of CuTc2. The functional is GGA-PBE.

Cell lengths 8.9736, 8.9736, 8.9736 Å; angles 163.61, 153.15, 31.62 degrees
Sites, in units of the cell vectors:
1 Cu 0.3716 0.1216 0.2500
2 Cu 0.6284 0.8784 0.7500
3 Tc 0.0653 0.3153 0.7500
4 Tc 0.2108 0.4608 0.7500
5 Tc 0.7892 0.5392 0.2500
6 Tc 0.9347 0.6847 0.2500

Properties
For the theoretical density, the calculation gives 9.364 Mg/m³. The value obtained for the final energy is -23.140 eV/f.u. The calculation puts the energy above the lowest structure with this stoichiometry at 137 kJ/mol of formula units.


This record from the Alexandria database describes a relaxed structure of Li2Ca2SnPd5. The functional is GGA-PBE.

Cell lengths 9.5760, 9.5760, 3.8273 Å; angles 90.00, 90.00, 90.00 degrees
Sites, in units of the cell vectors:
1 Li 0.1199 0.3801 0.0000
2 Li 0.3801 0.8801 0.0000
3 Li 0.6199 0.1199 0.0000
4 Li 0.8801 0.6199 0.0000
5 Ca 0.1788 0.6788 0.0000
6 Ca 0.3212 0.1788 0.0000
7 Ca 0.6788 0.8212 0.0000
8 Ca 0.8212 0.3212 0.0000
9 Sn 0.0000 0.0000 0.0000
10 Sn 0.5000 0.5000 0.0000
11 Pd 0.0000 0.5000 0.5000
12 Pd 0.0648 0.2099 0.5000
13 Pd 0.2099 0.9352 0.5000
14 Pd 0.2901 0.4352 0.5000
15 Pd 0.4352 0.7099 0.5000
16 Pd 0.5000 0.0000 0.5000
17 Pd 0.5648 0.2901 0.5000
18 Pd 0.7099 0.5648 0.5000
19 Pd 0.7901 0.0648 0.5000
20 Pd 0.9352 0.7901 0.5000

Properties
For the theoretical density, the calculation gives 7.048 Mg/m³. The value obtained for the final energy is -43.900 eV/f.u.


Among the records above, which one has the lowest theoretical density? BaYIn


Which of these has the lowest final energy? Li2Ca2SnPd5